Record 1
## CaCdBr2 (PBE)

Data for an optimized crystal structure of CaCdBr2. Values from VASP.

Geometry as Quantum ESPRESSO input:
```
&SYSTEM
  ibrav = 0, nat = 4, ntyp = 3
/
ATOMIC_SPECIES
Cd 112.41 Cd.upf
Br 79.90 Br.upf
Ca 40.08 Ca.upf
CELL_PARAMETERS angstrom
-1.2292 -2.6652 -4.6226
3.9920 -2.1873 -3.0435
0.5767 -5.4390 -0.2605
ATOMIC_POSITIONS angstrom
Cd 2.5046 -7.7186 -5.9450
Br 0.8349 -2.5729 -1.9817
Br 0.0000 0.0000 0.0000
Ca 1.6697 -5.1457 -3.9633
```

* total moment: 0.00 μB per formula unit
* excess energy over the best structure of this formula in the dataset: 214 kJ/mol of formula units
* formation energy without anion corrections: -821.3 meV/atom
* density of states at the Fermi level: 0.000 states/eV per atom



Record 2
## Ca2ZnAs (PBE)

Data for an optimized crystal structure of Ca2ZnAs. Values from VASP.

Geometry as Quantum ESPRESSO input:
```
&SYSTEM
  ibrav = 0, nat = 4, ntyp = 3
/
ATOMIC_SPECIES
Ca 40.08 Ca.upf
Zn 65.41 Zn.upf
As 74.92 As.upf
CELL_PARAMETERS angstrom
-2.5017 -3.9109 2.2756
-4.3249 0.9101 2.6831
-4.5667 -1.5709 -1.8466
ATOMIC_POSITIONS angstrom
Ca -2.8483 -1.1429 0.7780
Ca -8.5450 -3.4288 2.3341
Zn 0.0000 0.0000 0.0000
As -5.6967 -2.2859 1.5561
```

* energy of formation: -0.61 eV per atom
* total moment: 0.00 μB per formula unit
* excess energy over the best structure of this formula in the dataset: 56 kJ/mol of formula units
* density of states at the Fermi level: 0.915 states/eV per atom



Record 3
## Ag5Mo3 (PBE)

Data for an optimized crystal structure of Ag5Mo3. Values from VASP.

Geometry as Quantum ESPRESSO input:
```
&SYSTEM
  ibrav = 0, nat = 16, ntyp = 2
/
ATOMIC_SPECIES
Ag 107.87 Ag.upf
Mo 95.94 Mo.upf
CELL_PARAMETERS angstrom
-4.0542 -5.8402 6.9075
4.5193 1.2144 -8.8220
4.6652 2.2650 4.1920
ATOMIC_POSITIONS angstrom
Ag -1.8864 -4.7630 5.1346
Ag 2.5855 -0.6358 3.8002
Ag 4.6477 1.6914 1.5351
Ag 0.3027 -2.2458 2.9337
Ag 2.5490 -1.7267 -1.5209
Ag 0.3904 -3.1654 5.6754
Ag 4.8319 -0.1173 -0.6541
Ag 7.0209 2.4005 -2.8553
Ag 0.4871 -4.0545 0.7446
Ag 4.7443 0.8025 -3.3958
Mo 4.8265 -1.1981 2.1315
Mo 2.2875 -0.0165 0.9680
Mo 2.7538 -1.8435 6.5544
Mo 0.3081 -1.1649 0.1481
Mo 2.3809 -0.5191 -4.2752
Mo 2.8471 -2.3461 1.3112
```

* energy of formation: 0.49 eV per atom
* total moment: 0.00 μB per formula unit
* excess energy over the best structure of this formula in the dataset: 0 kJ/mol of formula units
* density of states at the Fermi level: 0.711 states/eV per atom



Record 4
## NaTlClF (PBE)

Data for an optimized crystal structure of NaTlClF. Values from VASP.

Geometry as Quantum ESPRESSO input:
```
&SYSTEM
  ibrav = 0, nat = 8, ntyp = 4
/
ATOMIC_SPECIES
Na 22.99 Na.upf
F 19.00 F.upf
Cl 35.45 Cl.upf
Tl 204.38 Tl.upf
CELL_PARAMETERS angstrom
3.9845 0.0000 0.0000
1.9922 3.4507 0.0000
1.9922 1.1502 15.1566
ATOMIC_POSITIONS angstrom
Na 3.9845 2.3004 14.0237
Na 3.9845 2.3004 1.1329
F 5.9767 3.4507 13.9855
F 1.9922 1.1502 1.1711
Cl 1.9922 1.1502 11.0052
Cl 5.9767 3.4507 4.1514
Tl 1.9922 1.1502 5.8212
Tl 5.9767 3.4507 9.3354
```

* total moment: 0.07 μB per formula unit
* formation energy without anion corrections: -1686.8 meV/atom
* density of states at the Fermi level: 0.000 states/eV per atom



Record 5
## Fe6Co5Rh (PBE)

Data for an optimized crystal structure of Fe6Co5Rh. Values from VASP.

Geometry as Quantum ESPRESSO input:
```
&SYSTEM
  ibrav = 0, nat = 12, ntyp = 3
/
ATOMIC_SPECIES
Fe 55.84 Fe.upf
Rh 102.91 Rh.upf
Co 58.93 Co.upf
CELL_PARAMETERS angstrom
3.9176 -0.0034 -1.0982
-2.9319 5.6890 -2.9400
-0.1530 -0.8174 6.9938
ATOMIC_POSITIONS angstrom
Fe 0.1459 4.7339 0.5060
Fe 1.0939 2.5144 3.8947
Fe -1.3441 3.5957 2.7311
Fe -0.2612 2.3538 -0.9391
Fe 0.6868 0.1343 2.4496
Fe 2.1768 1.2725 0.2245
Rh 0.0000 0.0000 0.0000
Co -1.0771 1.3462 3.6905
Co 1.3472 0.2547 4.8052
Co -2.0079 3.5254 0.3633
Co 0.4164 2.4341 1.4778
Co -0.5145 4.6135 -1.8496
```

* energy of formation: -0.04 eV per atom
* total moment: 26.94 μB per formula unit
* density of states at the Fermi level: 0.760 states/eV per atom



Record 6
## Pm3AuCCl (PBE)

Data for an optimized crystal structure of Pm3AuCCl. Values from VASP.

Geometry as Quantum ESPRESSO input:
```
&SYSTEM
  ibrav = 0, nat = 12, ntyp = 4
/
ATOMIC_SPECIES
Au 196.97 Au.upf
Pm 145.00 Pm.upf
Cl 35.45 Cl.upf
C 12.01 C.upf
CELL_PARAMETERS angstrom
-1.3498 -1.6512 -3.2595
6.8346 -7.0957 0.7642
-5.0469 -3.8031 4.0165
ATOMIC_POSITIONS angstrom
Au 0.4011 -7.8825 0.3357
Au 0.0368 -4.6675 1.1855
Pm -0.2677 -10.4756 1.9263
Pm -2.8093 -5.0663 0.2386
Pm 1.5286 -5.5797 -1.2977
Pm -1.0908 -6.9703 2.8189
Pm 0.7055 -2.0744 -0.4051
Pm 3.2471 -7.4837 1.2826
Cl -2.2888 -2.2491 -1.4040
Cl 2.7266 -10.3009 2.9252
C 3.9677 -5.5335 -0.0037
C -3.5299 -7.0165 1.5249
```

* total moment: 0.00 μB per formula unit
* formation energy without anion corrections: -801.4 meV/atom
* density of states at the Fermi level: 0.918 states/eV per atom



- Which formula does entry 1 have?
  CaCdBr2



- Which formula does entry 5 have?
  Fe6Co5Rh



- Which formula does entry 4 have?
  NaTlClF